A relaxed ErTmZnGa crystal, computed with PBE-GGA.

Cell and atoms, written as POSCAR:
```
ErTmZnGa
1.0
0.000 3.528 3.528
3.528 0.000 3.528
3.528 3.528 0.000
Er Tm Zn Ga
1 1 1 1
direct
0.000 0.000 0.000
0.500 0.500 0.500
0.250 0.250 0.250
0.750 0.750 0.750
```

## Properties
E_form ... -0.477 eV/atom
V ... 22.0 A^3/atom


A relaxed PrErGa2Cu2 crystal, computed with PBE-GGA.

Cell and atoms, written as POSCAR:
```
PrErGa2Cu2
1.0
4.373 0.000 0.000
-2.186 3.787 0.000
0.000 0.000 7.370
Pr Er Ga Cu
1 1 2 2
direct
0.000 0.000 0.000
0.000 0.000 0.500
0.333 0.667 0.275
0.667 0.333 0.725
0.333 0.667 0.713
0.667 0.333 0.287
```

## Properties
E_form ... -0.479 eV/atom
V ... 20.3 A^3/atom


A relaxed PmY8Er3 crystal, computed with PBE-GGA.

Cell and atoms, written as POSCAR:
```
PmY8Er3
1.0
6.173 0.000 0.000
2.010 6.805 0.000
2.094 1.312 9.118
Pm Y Er
1 8 3
direct
0.000 0.000 0.000
0.001 0.334 0.666
0.002 0.833 0.666
0.499 0.168 0.832
0.500 0.333 0.168
0.500 0.667 0.832
0.501 0.832 0.168
0.998 0.167 0.334
0.999 0.666 0.334
0.000 0.500 0.000
0.500 0.000 0.500
0.500 0.500 0.500
```

## Properties
E_form ... 0.018 eV/atom
V ... 31.9 A^3/atom


A relaxed TlCr2W2 crystal, computed with PBE-GGA.

Cell and atoms, written as POSCAR:
```
TlCr2W2
1.0
-1.995 1.995 5.592
1.995 -1.995 5.592
1.995 1.995 -5.592
Tl Cr W
1 2 2
direct
0.000 0.000 0.000
0.250 0.750 0.500
0.750 0.250 0.500
0.377 0.377 0.000
0.623 0.623 0.000
```

## Properties
E_form ... 0.921 eV/atom
V ... 17.8 A^3/atom


A relaxed SmMg2AlAu2 crystal, computed with PBE-GGA.

Cell and atoms, written as POSCAR:
```
SmMg2AlAu2
1.0
-2.611 2.611 5.490
2.611 -2.611 5.490
2.611 2.611 -5.490
Sm Mg Al Au
1 2 1 2
direct
0.000 0.000 0.000
0.250 0.750 0.500
0.750 0.250 0.500
0.500 0.500 0.000
0.277 0.277 0.000
0.723 0.723 0.000
```

## Properties
E_form ... -0.279 eV/atom
V ... 25.0 A^3/atom


A relaxed Cd2IrW crystal, computed with PBE-GGA.

Cell and atoms, written as POSCAR:
```
Cd2IrW
1.0
4.993 -1.446 0.000
4.993 1.446 0.000
-1.011 0.000 4.815
Cd Ir W
2 1 1
direct
0.246 0.246 0.246
0.754 0.754 0.754
0.500 0.500 0.000
0.000 0.000 0.500
```

## Properties
E_form ... 0.435 eV/atom
V ... 17.4 A^3/atom


no.,total magnetization (μB/cell)
1,0.00
2,0.00
3,0.00
4,0.00
5,0.00
6,0.00